{"formula": "FePPbO2", "functional": "PBE with a Hubbard U", "state": "optimized geometry", "magmom_total_mub_per_cell": 4.5, "de_polymorph_mev_per_atom": 709, "e_tot_ry_per_atom": -0.336, "lattice": [[-4.096, 0.552, -0.367], [-0.465, -4.029, -0.875], [-0.631, -1.096, 5.383]], "species": ["O", "O", "Pb", "P", "Fe"], "fractional_positions": [[0.500, 0.000, 0.000], [0.000, 0.500, 0.000], [0.000, 0.000, 0.000], [0.000, 0.000, 0.500], [0.500, 0.500, 0.500]]}